This record from Alexandria via LeMat-Bulk describes Li3CdBi2 after structural relaxation. The functional is PBE.

Cell lengths 3.489, 8.478, 9.502 Å; angles 90.00, 90.00, 90.00 degrees
Atoms (fractional coordinates):
Cd1 0.500 0.559 0.620
Cd2 0.500 0.059 0.380
Li1 0.000 0.460 0.888
Li2 0.000 0.878 0.656
Li3 0.000 0.960 0.112
Li4 0.000 0.378 0.344
Li5 0.500 0.102 0.845
Li6 0.500 0.602 0.155
Bi1 0.500 0.763 0.892
Bi2 0.500 0.263 0.108
Bi3 0.000 0.738 0.379
Bi4 0.000 0.238 0.621

Properties
- Energy above the lowest structure with this stoichiometry: 0 meV per atom
- N(E_F): 0.131 states/eV/atom
- Formation enthalpy at 0 K: -0.34 eV/atom
- Total moment: 0.0 μB/cell
- Space-group type: Pmc2_1